Record 1
# GGA-PBE K2RbV, optimized geometry
data_K2RbV
_chemical_formula_sum 'K8 Rb4 V4'
_space_group_name_H-M_alt 'F m -3 m'
_space_group_IT_number 225
_space_group_name_Hall '-F 4 2 3'
_cell_length_a 9.3165
_cell_length_b 9.3165
_cell_length_c 9.3165
_cell_angle_alpha 90.00
_cell_angle_beta 90.00
_cell_angle_gamma 90.00
loop_
_atom_site_label
_atom_site_fract_x
_atom_site_fract_y
_atom_site_fract_z
K1 0.2500 0.2500 0.2500
Rb1 0.0000 0.0000 0.0000
V1 0.0000 0.0000 0.5000
# M_tot: 19.7 μB/cell
# Calculated formation energy: 887 meV/atom

---

Record 2
# GGA-PBE K2RbV, optimized geometry
data_K2RbV
_chemical_formula_sum 'K8 Rb4 V4'
_space_group_name_H-M_alt 'I -4 2 d'
_space_group_IT_number 122
_space_group_name_Hall 'I -4 2bw'
_cell_length_a 5.6558
_cell_length_b 5.6558
_cell_length_c 27.5623
_cell_angle_alpha 90.00
_cell_angle_beta 90.00
_cell_angle_gamma 90.00
loop_
_atom_site_label
_atom_site_fract_x
_atom_site_fract_y
_atom_site_fract_z
K1 0.2231 0.2500 0.1250
Rb1 0.0000 0.0000 0.5000
V1 0.0000 0.0000 0.0000
# M_tot: 19.1 μB/cell
# Calculated formation energy: 983 meV/atom

---

Record 3
# GGA-PBE K3RbV, optimized geometry
data_K3RbV
_chemical_formula_sum 'K3 Rb1 V1'
_space_group_name_H-M_alt 'P m -3 m'
_space_group_IT_number 221
_space_group_name_Hall '-P 4 2 3'
_cell_length_a 6.8889
_cell_length_b 6.8889
_cell_length_c 6.8889
_cell_angle_alpha 90.00
_cell_angle_beta 90.00
_cell_angle_gamma 90.00
loop_
_atom_site_label
_atom_site_fract_x
_atom_site_fract_y
_atom_site_fract_z
K1 0.0000 0.0000 0.5000
Rb1 0.5000 0.5000 0.5000
V1 0.0000 0.0000 0.0000
# M_tot: 5.3 μB/cell
# Calculated formation energy: 732 meV/atom

---

Record 4
# GGA-PBE K2RbW, optimized geometry
data_K2RbW
_chemical_formula_sum 'K8 Rb4 W4'
_space_group_name_H-M_alt 'I -4 2 d'
_space_group_IT_number 122
_space_group_name_Hall 'I -4 2bw'
_cell_length_a 5.6467
_cell_length_b 5.6467
_cell_length_c 27.1437
_cell_angle_alpha 90.00
_cell_angle_beta 90.00
_cell_angle_gamma 90.00
loop_
_atom_site_label
_atom_site_fract_x
_atom_site_fract_y
_atom_site_fract_z
K1 0.2193 0.2500 0.1250
Rb1 0.0000 0.0000 0.5000
W1 0.0000 0.0000 0.0000
# M_tot: 20.8 μB/cell
# Calculated formation energy: 1606 meV/atom

---

Record 5
# GGA-PBE KRb3W, optimized geometry
data_KRb3W
_chemical_formula_sum 'K1 Rb3 W1'
_space_group_name_H-M_alt 'P m -3 m'
_space_group_IT_number 221
_space_group_name_Hall '-P 4 2 3'
_cell_length_a 7.5043
_cell_length_b 7.5043
_cell_length_c 7.5043
_cell_angle_alpha 90.00
_cell_angle_beta 90.00
_cell_angle_gamma 90.00
loop_
_atom_site_label
_atom_site_fract_x
_atom_site_fract_y
_atom_site_fract_z
K1 0.0000 0.0000 0.0000
Rb1 0.0000 0.0000 0.5000
W1 0.5000 0.5000 0.5000
# M_tot: 5.2 μB/cell
# Calculated formation energy: 1649 meV/atom

---

Record 6
# GGA-PBE KRb3W, optimized geometry
data_KRb3W
_chemical_formula_sum 'K1 Rb3 W1'
_space_group_name_H-M_alt 'P m -3 m'
_space_group_IT_number 221
_space_group_name_Hall '-P 4 2 3'
_cell_length_a 7.2653
_cell_length_b 7.2653
_cell_length_c 7.2653
_cell_angle_alpha 90.00
_cell_angle_beta 90.00
_cell_angle_gamma 90.00
loop_
_atom_site_label
_atom_site_fract_x
_atom_site_fract_y
_atom_site_fract_z
K1 0.0000 0.0000 0.0000
Rb1 0.0000 0.5000 0.5000
W1 0.5000 0.5000 0.5000
# M_tot: 5.9 μB/cell
# Calculated formation energy: 1257 meV/atom